Cs2AgSe2 | PBE | optimized geometry

```
Cs2AgSe2
1.0
-0.866 5.994 -4.778
-6.892 -2.713 -2.154
-2.479 2.977 4.184
Cs Se Ag
4 4 2
Cartesian
-5.934 0.660 -0.100
-7.595 3.173 -2.873
-4.304 5.598 -2.648
-2.642 3.085 0.125
-6.075 -0.245 -3.425
-5.284 3.234 -5.432
-1.684 3.526 -3.506
-2.475 0.047 -1.500
0.000 0.000 0.000
-3.879 1.641 -3.466
```

Results
Formation energy (no corrections): -0.513 eV/atom
Space-group type: P4/mbm
E_tot: -2.819 eV/atom